DFT (GGA-PBE) results for a geometry-optimized AcAlCuAg structure.

Uncorrected energy, eV/atom: -3.809
Calculated density, Mg/m³: 7.79
Energy relative to the elements, meV per atom: -109

Cell lengths 7.131, 7.131, 7.131 Å; angles 90.00, 90.00, 90.00 degrees
Space group F-43m (No. 216)
Unique sites:
Ac  0.000  0.000  0.000 (multiplicity 4)
Al  0.000  0.000  0.500 (multiplicity 4)
Cu  0.250  0.250  0.250 (multiplicity 4)
Ag  0.250  0.250  0.750 (multiplicity 4)

DFT (GGA-PBE) results for a geometry-optimized AcAlCuAg6 structure.

Uncorrected energy, eV/atom: -3.260
Calculated density, Mg/m³: 8.37
Energy relative to the elements, meV per atom: -32

Cell lengths 5.888, 8.998, 14.447 Å; angles 90.00, 90.00, 90.00 degrees
Space group Imma (No. 74)
Unique sites:
Ac  0.000  0.250  0.001 (multiplicity 4)
Al  0.000  0.000  0.500 (multiplicity 4)
Cu  0.250  0.250  0.250 (multiplicity 4)
Ag  0.000  0.250  0.402 (multiplicity 4)
Ag  0.000  0.250  0.748 (multiplicity 4)
Ag  0.243  0.012  0.848 (multiplicity 16)

DFT (GGA-PBE) results for a geometry-optimized AcErAl2Ag2 structure.

Uncorrected energy, eV/atom: -4.002
Calculated density, Mg/m³: 7.53
Energy relative to the elements, meV per atom: -359

Cell lengths 4.6745, 4.6745, 7.7417 Å; angles 90.00, 90.00, 120.00 degrees
Space group P-3m1 (No. 164)
Unique sites:
Ac  0.0000  0.0000  0.0000 (multiplicity 1)
Er  0.0000  0.0000  0.5000 (multiplicity 1)
Al  0.3333  0.6667  0.2956 (multiplicity 2)
Ag  0.3333  0.6667  0.6979 (multiplicity 2)

DFT (GGA-PBE) results for a geometry-optimized AcAl8GaAg2 structure.

Uncorrected energy, eV/atom: -3.532
Calculated density, Mg/m³: 4.83
Energy relative to the elements, meV per atom: 33

Cell lengths 8.717, 5.803, 9.905 Å; angles 90.00, 90.17, 90.00 degrees
Space group C2/m (No. 12)
Unique sites:
Ac  0.000  0.000  0.000 (multiplicity 2)
Al  0.114  0.249  0.699 (multiplicity 8)
Al  0.138  0.500  0.923 (multiplicity 4)
Al  0.166  0.500  0.468 (multiplicity 4)
Ga  0.000  0.000  0.500 (multiplicity 2)
Ag  0.147  0.500  0.195 (multiplicity 4)

DFT (GGA-PBE) results for a geometry-optimized AcAlGa4Ag2 structure.

Uncorrected energy, eV/atom: -3.400
Calculated density, Mg/m³: 7.34
Energy relative to the elements, meV per atom: -192

Cell lengths 4.6102, 4.6102, 27.5871 Å; angles 90.00, 90.00, 120.00 degrees
Space group R-3m (No. 166, hexagonal axes)
Unique sites:
Ac  0.0000  0.0000  0.0000 (multiplicity 3)
Al  0.0000  0.0000  0.5000 (multiplicity 3)
Ga  0.0000  0.0000  0.1305 (multiplicity 6)
Ga  0.0000  0.0000  0.4031 (multiplicity 6)
Ag  0.0000  0.0000  0.2422 (multiplicity 6)

DFT (GGA-PBE) results for a geometry-optimized Ac2Al4GaAg3 structure.

Uncorrected energy, eV/atom: -3.858
Calculated density, Mg/m³: 7.05
Energy relative to the elements, meV per atom: -382

Cell lengths 4.547, 4.547, 10.880 Å; angles 90.00, 90.00, 90.00 degrees
Space group P-4m2 (No. 115)
Unique sites:
Ac  0.000  0.500  0.247 (multiplicity 2)
Al  0.000  0.000  0.500 (multiplicity 1)
Al  0.000  0.500  0.870 (multiplicity 2)
Al  0.500  0.500  0.500 (multiplicity 1)
Ga  0.500  0.500  0.000 (multiplicity 1)
Ag  0.000  0.000  0.000 (multiplicity 1)
Ag  0.000  0.500  0.629 (multiplicity 2)